Entry from the Alexandria database: an optimized crystal structure of CeEu3 (GGA-PBE).

Cell lengths 5.397, 5.397, 5.397 Å; angles 90.00, 90.00, 90.00 degrees
Site moments in Bohr magnetons follow the coordinates.
Fractional positions:
1 Eu 0.000 0.500 0.500  7.00
2 Eu 0.500 0.000 0.500  7.00
3 Eu 0.500 0.500 0.000  7.00
4 Ce 0.000 0.000 0.000  1.30

Properties
The calculation puts the energy relative to the elements at 0.7 eV/f.u. Its polymorph energy (0 for the lowest one) is 0 meV/atom. Its density of states at the Fermi level is 8.1 states/eV per cell.

***

Entry from the Alexandria database: an optimized crystal structure of Sr2BiPd2 (GGA-PBE).

Cell lengths 7.786, 7.786, 4.435 Å; angles 90.00, 90.00, 90.00 degrees
Fractional positions:
1 Sr 0.177 0.677 0.500
2 Sr 0.677 0.823 0.500
3 Sr 0.823 0.323 0.500
4 Sr 0.323 0.177 0.500
5 Bi 0.000 0.000 0.000
6 Bi 0.500 0.500 0.000
7 Pd 0.374 0.874 0.000
8 Pd 0.874 0.626 0.000
9 Pd 0.626 0.126 0.000
10 Pd 0.126 0.374 0.000

Properties
The calculation puts the energy relative to the elements at -3.2 eV/f.u. Its polymorph energy (0 for the lowest one) is 73 meV/atom. Its density of states at the Fermi level is 7.0 states/eV per cell.

***

Entry from the Alexandria database: an optimized crystal structure of NaLi2CuBr4 (GGA-PBE).

Cell lengths 7.290, 7.290, 7.290 Å; angles 130.62, 130.62, 72.42 degrees
Site moments in Bohr magnetons follow the coordinates.
Fractional positions:
1 Na 0.500 0.500 0.000  0.00
2 Li 0.750 0.250 0.500  0.00
3 Li 0.250 0.750 0.500  0.00
4 Cu 0.000 0.000 0.000  0.13
5 Br 0.642 0.642 0.550  0.01
6 Br 0.907 0.358 0.000  0.01
7 Br 0.358 0.907 0.000  0.01
8 Br 0.093 0.093 0.450  0.01

Properties
As for the raw formation energy: -1197.8 meV per atom. Its density of states at the Fermi level is 0.0 states/eV per cell.

***

Entry from the Alexandria database: an optimized crystal structure of LaBeCdPd2 (GGA-PBE).

Cell lengths 4.633, 4.633, 4.555 Å; angles 90.00, 90.00, 90.00 degrees
Fractional positions:
1 Be 0.000 0.000 0.000
2 Cd 0.000 0.000 0.500
3 Pd 0.000 0.500 0.000
4 Pd 0.500 0.000 0.000
5 La 0.500 0.500 0.500

Properties
The calculation puts the energy relative to the elements at -1.9 eV/f.u. Its density of states at the Fermi level is 2.6 states/eV per cell.

***

Q: Which formula does entry 3 have?
A: NaLi2CuBr4